[1]
First-principles (GGA-PBE) data for an optimized crystal structure of Ho6Cu2Ni, as listed in Alexandria via LeMat-Bulk.

POSCAR file:
```
Ho6Cu2Ni
1.0
-6.814 4.548 -0.889
4.843 1.116 -6.573
-1.981 -7.975 0.610
Ho Cu Ni
12 4 2
Cartesian
0.510 -5.705 -4.465
-1.912 -3.169 -4.885
0.348 -0.555 -4.169
-4.300 -1.757 -2.682
-3.086 0.097 -5.252
-0.866 -2.408 -1.599
-0.954 -5.922 -1.259
-4.462 3.394 -2.386
-2.998 3.611 -5.592
1.340 -2.932 -6.236
-5.292 0.621 -0.616
-2.040 0.858 -1.967
-5.710 -2.225 -0.181
-3.085 -1.202 -0.098
-3.314 -4.311 -2.397
-0.638 2.000 -4.454
-5.383 1.117 -3.869
-1.981 -7.975 0.610
```

Properties
space-group type	Immm
total moment	0.000	μB/f.u.
total energy	-4.7783	eV/atom
Fermi-level density of states	0.902	states/eV/atom
DFT formation energy	-16.8	kJ per mole of atoms


[2]
First-principles (GGA-PBE) data for an optimized crystal structure of Ho2Cu3Ni2, as listed in Alexandria via LeMat-Bulk.

POSCAR file:
```
Ho2Cu3Ni2
1.0
-0.448 -3.519 -2.006
3.835 -0.137 3.524
-5.503 -0.912 2.828
Cu Ho Ni
3 2 2
Cartesian
0.000 0.000 0.000
-1.678 -2.081 4.025
-0.438 -2.487 0.321
-3.302 -2.993 1.848
1.186 -1.575 2.498
-1.578 -0.813 1.779
-0.538 -3.755 2.568
```

Properties
E above lowest polymorph	38.2	meV/atom
space-group type	C2/m
total moment	0.000	μB/f.u.
total energy	-5.0017	eV/atom
Fermi-level density of states	0.543	states/eV/atom
DFT formation energy	-27.6	kJ per mole of atoms


[3]
First-principles (GGA-PBE) data for an optimized crystal structure of Ho4CuNi2, as listed in Alexandria via LeMat-Bulk.

POSCAR file:
```
Ho4CuNi2
1.0
-2.744 -6.356 -3.861
5.485 -1.926 3.811
-5.005 2.934 4.612
Ho Cu Ni
8 2 4
Cartesian
-3.260 -5.519 -1.073
0.240 -2.409 1.549
-1.442 -2.187 4.997
-2.002 -5.081 2.009
3.048 -3.320 3.401
0.437 -6.121 -0.348
-3.750 -0.137 2.980
-4.975 -3.287 0.886
2.652 -8.120 0.108
1.016 -1.352 4.112
-1.203 -3.825 -0.478
-2.542 -2.434 2.247
-2.057 0.431 5.273
1.179 -4.937 1.994
```

Properties
space-group type	P1
total moment	0.000	μB/f.u.
total energy	-5.1087	eV/atom
Fermi-level density of states	0.777	states/eV/atom
DFT formation energy	-24.7	kJ per mole of atoms


[4]
First-principles (GGA-PBE) data for an optimized crystal structure of Ho2Cu2Ni15, as listed in Alexandria via LeMat-Bulk.

POSCAR file:
```
Ho2Cu2Ni15
1.0
-2.609 0.797 -5.631
-2.063 -5.863 -0.715
-5.840 1.003 2.007
Ho Ni Cu
2 15 2
Cartesian
-6.917 -2.673 -2.854
-3.595 -1.390 -1.484
-4.667 -4.330 -1.858
-4.717 -1.039 1.198
-5.845 0.267 -2.480
-2.920 0.501 1.004
-5.573 -3.054 -0.029
-1.032 -2.932 -0.358
-3.962 -3.157 -3.837
-6.551 -0.906 -0.501
-2.225 -3.882 -2.177
-3.570 0.858 -3.359
-2.446 -1.184 -4.169
-1.304 0.399 -2.815
-4.879 0.942 -0.264
-4.939 -1.009 -4.309
-3.186 -3.821 0.095
-1.041 -0.402 -0.430
-9.471 -3.661 -3.909
```

Properties
space-group type	R-3m
total moment	5.411	μB/f.u.
total energy	-5.6805	eV/atom
Fermi-level density of states	1.248	states/eV/atom
DFT formation energy	-19.6	kJ per mole of atoms


[5]
First-principles (GGA-PBE) data for an optimized crystal structure of Ho2Cu3Ni4, as listed in Alexandria via LeMat-Bulk.

POSCAR file:
```
Ho2Cu3Ni4
1.0
4.989 -0.206 0.000
-2.501 4.322 0.000
-1.244 -2.058 6.229
Ni Ho Cu
4 2 3
Cartesian
3.686 0.581 2.106
-2.442 1.476 4.123
2.442 -1.476 4.123
-1.198 3.534 2.106
1.244 2.058 1.810
0.000 0.000 4.419
0.000 0.000 0.000
2.494 -0.103 0.000
-1.251 2.161 0.000
```

Properties
space-group type	Fmmm
total moment	0.000	μB/f.u.
total energy	-5.2392	eV/atom
Fermi-level density of states	0.536	states/eV/atom
DFT formation energy	-27.7	kJ per mole of atoms


[6]
First-principles (GGA-PBE) data for an optimized crystal structure of Ho3CuNi3, as listed in Alexandria via LeMat-Bulk.

POSCAR file:
```
Ho3CuNi3
1.0
-0.303 -3.409 -2.132
-2.164 -0.427 4.804
-11.452 4.022 -4.802
Ni Cu Ho
6 2 6
Cartesian
-5.068 1.277 -1.321
-12.471 0.180 -2.326
-8.852 -1.091 -0.809
-1.449 0.006 0.197
-10.014 0.140 -2.612
-3.906 0.045 0.483
-5.878 0.306 -3.467
-0.152 -1.705 -1.066
-2.711 -2.565 0.675
-7.834 1.565 -1.389
-6.086 -1.380 -0.740
-3.096 -0.774 -2.135
-11.209 2.751 -2.804
-10.824 0.959 0.006
```

Properties
E above lowest polymorph	0.0	meV/atom
space-group type	Cmcm
total moment	0.000	μB/f.u.
total energy	-5.4558	eV/atom
Fermi-level density of states	0.563	states/eV/atom
DFT formation energy	-41.6	kJ per mole of atoms


[7]
First-principles (GGA-PBE) data for an optimized crystal structure of HoCuNi, as listed in Alexandria via LeMat-Bulk.

POSCAR file:
```
HoCuNi
1.0
3.357 0.000 0.000
0.000 3.357 0.000
-1.678 -1.678 4.451
Cu Ni Ho
1 1 1
Cartesian
1.678 1.678 1.215
0.000 0.000 2.384
1.678 1.678 3.968
```

Properties
space-group type	I4mm
total moment	0.000	μB/f.u.
total energy	-5.0293	eV/atom
Fermi-level density of states	0.901	states/eV/atom
DFT formation energy	-20.3	kJ per mole of atoms


[8]
First-principles (GGA-PBE) data for an optimized crystal structure of Ho3CuNi3, as listed in Alexandria via LeMat-Bulk.

POSCAR file:
```
Ho3CuNi3
1.0
4.253 0.000 0.000
0.000 8.550 0.000
0.000 -4.275 7.405
Ni Ho Cu
6 6 2
Cartesian
3.190 0.476 1.335
3.190 2.881 7.150
1.063 3.799 6.069
1.063 1.394 0.255
1.063 7.632 1.080
3.190 -3.357 6.324
3.190 6.464 2.344
1.063 -2.189 5.060
3.190 3.073 0.635
1.063 1.202 6.770
1.063 0.987 2.979
3.190 3.288 4.426
3.190 0.000 4.936
1.063 4.275 2.468
```

Properties
E above lowest polymorph	130.4	meV/atom
space-group type	P6_3/m
total moment	0.000	μB/f.u.
total energy	-5.3254	eV/atom
Fermi-level density of states	0.484	states/eV/atom
DFT formation energy	-29.0	kJ per mole of atoms


[9]
First-principles (GGA-PBE) data for an optimized crystal structure of Ho3Cu2Ni, as listed in Alexandria via LeMat-Bulk.

POSCAR file:
```
Ho3Cu2Ni
1.0
-3.308 2.204 1.572
-4.185 -8.936 3.723
5.556 1.431 9.682
Ho Ni Cu
12 4 8
Cartesian
-0.504 -2.810 5.783
0.573 0.097 9.784
3.849 1.271 9.222
-1.432 -2.491 9.194
1.717 0.227 6.199
-1.802 0.242 4.585
-3.653 -5.528 8.778
-2.509 -5.398 5.193
-0.134 -5.543 10.392
-5.786 -6.572 5.755
-2.110 -2.729 2.291
0.173 -2.572 12.685
-3.024 -3.416 7.141
-0.663 -0.407 2.081
1.088 -1.885 7.835
-1.274 -4.895 12.896
1.501 -2.837 10.040
-0.893 -0.346 7.322
1.370 2.586 7.972
-3.199 -0.053 2.060
-1.044 -4.955 7.655
-3.306 -7.887 7.005
-3.438 -2.464 4.936
1.262 -5.248 12.916
```

Properties
E above lowest polymorph	24.1	meV/atom
space-group type	Pnma
total moment	0.000	μB/f.u.
total energy	-4.9093	eV/atom
Fermi-level density of states	0.862	states/eV/atom
DFT formation energy	-28.1	kJ per mole of atoms


[10]
First-principles (GGA-PBE) data for an optimized crystal structure of Ho5Cu4Ni, as listed in Alexandria via LeMat-Bulk.

POSCAR file:
```
Ho5Cu4Ni
1.0
3.417 0.000 0.000
0.000 3.417 0.000
0.000 0.000 17.353
Ni Ho Cu
1 5 4
Cartesian
0.000 0.000 0.000
1.708 1.708 1.647
1.708 1.708 15.706
1.708 1.708 8.677
1.708 1.708 12.191
1.708 1.708 5.162
0.000 0.000 6.928
0.000 0.000 13.931
0.000 0.000 10.426
0.000 0.000 3.422
```

Properties
space-group type	P4/mmm
total moment	0.000	μB/f.u.
total energy	-4.8019	eV/atom
Fermi-level density of states	0.567	states/eV/atom
DFT formation energy	-28.6	kJ per mole of atoms


[11]
First-principles (GGA-PBE) data for an optimized crystal structure of Ho6CuNi2, as listed in Alexandria via LeMat-Bulk.

POSCAR file:
```
Ho6CuNi2
1.0
-1.890 -4.065 4.659
5.771 1.411 3.571
-4.633 7.600 4.482
Ho Ni Cu
12 4 2
Cartesian
0.156 -0.110 5.875
1.207 0.418 2.182
-3.550 5.152 4.342
-4.621 4.454 7.933
-0.384 2.924 3.966
-1.959 4.529 10.531
-0.367 2.022 8.747
-2.856 1.990 6.256
-0.908 5.056 6.837
2.799 -0.205 8.370
3.869 0.493 4.780
2.104 2.957 6.456
2.326 2.482 3.588
-1.329 0.327 3.618
-3.077 2.464 9.125
0.577 4.620 9.095
1.941 -1.327 4.115
-2.316 3.800 2.241
```

Properties
E above lowest polymorph	90.0	meV/atom
space-group type	P2_1/c
total moment	0.000	μB/f.u.
total energy	-4.9643	eV/atom
Fermi-level density of states	1.013	states/eV/atom
DFT formation energy	-16.7	kJ per mole of atoms


[12]
First-principles (GGA-PBE) data for an optimized crystal structure of Ho3Cu2Ni4, as listed in Alexandria via LeMat-Bulk.

POSCAR file:
```
Ho3Cu2Ni4
1.0
4.108 0.000 0.000
-2.054 4.593 -1.116
0.000 0.459 8.000
Ni Ho Cu
4 3 2
Cartesian
2.054 3.966 2.018
2.054 2.144 0.131
0.000 2.908 6.752
0.000 1.087 4.865
2.054 1.280 2.728
0.000 3.772 4.155
0.000 0.000 0.000
2.054 2.113 5.723
0.000 2.939 1.160
```

Properties
space-group type	C2/m
total moment	0.000	μB/f.u.
total energy	-5.3835	eV/atom
Fermi-level density of states	0.620	states/eV/atom
DFT formation energy	-36.5	kJ per mole of atoms


[13]
First-principles (GGA-PBE) data for an optimized crystal structure of Ho8CuNi2, as listed in Alexandria via LeMat-Bulk.

POSCAR file:
```
Ho8CuNi2
1.0
-0.213 -3.901 3.078
6.550 -0.671 -0.396
-1.408 7.262 5.089
Ni Ho Cu
2 8 1
Cartesian
0.718 1.242 5.643
4.211 1.448 2.127
-0.106 2.839 7.610
-0.901 3.459 4.322
2.281 3.966 5.185
5.035 -0.149 0.160
5.830 -0.769 3.448
2.648 -1.275 2.586
1.584 1.910 2.531
3.344 0.780 5.240
-0.107 -1.951 1.539
```

Properties
E above lowest polymorph	0.0	meV/atom
space-group type	C2/m
total moment	0.000	μB/f.u.
total energy	-4.9380	eV/atom
Fermi-level density of states	1.190	states/eV/atom
DFT formation energy	-17.9	kJ per mole of atoms


[14]
First-principles (GGA-PBE) data for an optimized crystal structure of Ho12CuNi6, as listed in Alexandria via LeMat-Bulk.

POSCAR file:
```
Ho12CuNi6
1.0
8.013 -0.181 -0.217
-1.394 7.892 -0.217
-1.394 -1.624 7.726
Ho Ni Cu
12 6 1
Cartesian
6.983 2.270 0.374
1.186 -0.927 7.197
2.260 4.124 1.141
-1.096 6.897 2.301
6.321 -0.810 4.991
-1.759 3.816 6.918
3.733 0.611 3.017
1.491 5.475 4.274
2.964 1.963 6.151
5.186 3.794 3.030
0.038 2.293 4.261
4.039 7.014 0.095
0.904 3.941 6.429
5.420 1.746 5.027
1.466 0.027 4.676
3.759 6.060 2.616
-0.195 4.341 2.265
4.320 2.146 0.862
0.000 0.000 0.000
```

Properties
space-group type	R-3
total moment	0.000	μB/f.u.
total energy	-5.0915	eV/atom
Fermi-level density of states	1.034	states/eV/atom
DFT formation energy	-15.3	kJ per mole of atoms


[15]
First-principles (GGA-PBE) data for an optimized crystal structure of HoCu9Ni3, as listed in Alexandria via LeMat-Bulk.

POSCAR file:
```
HoCu9Ni3
1.0
0.449 4.400 1.943
-1.763 0.200 6.173
5.752 0.921 2.591
Cu Ni Ho
9 3 1
Cartesian
2.733 2.312 6.392
0.891 0.487 4.946
3.423 4.044 8.229
0.128 2.555 6.357
4.310 2.965 4.351
1.705 3.208 4.316
3.547 5.033 5.762
1.014 1.476 2.479
-0.881 0.100 3.087
2.876 0.460 1.296
-0.657 2.300 4.058
3.100 2.660 2.267
0.000 0.000 0.000
```

Properties
space-group type	C2/m
total moment	0.000	μB/f.u.
total energy	-4.6341	eV/atom
Fermi-level density of states	0.466	states/eV/atom
DFT formation energy	-10.8	kJ per mole of atoms


[16]
First-principles (GGA-PBE) data for an optimized crystal structure of Ho5CuNi2, as listed in Alexandria via LeMat-Bulk.

POSCAR file:
```
Ho5CuNi2
1.0
6.818 0.000 -3.218
-1.519 6.646 -3.218
-0.244 -0.306 8.313
Ho Ni Cu
10 4 2
Cartesian
3.919 6.405 -3.405
1.135 -0.065 5.282
0.000 0.000 0.000
2.649 3.323 -3.218
2.333 4.415 2.063
4.279 1.092 3.112
0.775 5.248 -1.236
2.721 1.925 -0.187
5.866 3.082 -2.357
-0.812 3.258 4.233
0.290 2.487 -1.609
5.009 4.160 -4.827
4.076 0.836 -2.419
1.223 5.810 -4.017
3.852 4.831 -0.671
1.202 1.508 2.547
```

Properties
space-group type	I4/mcm
total moment	0.000	μB/f.u.
total energy	-5.1008	eV/atom
Fermi-level density of states	1.001	states/eV/atom
DFT formation energy	-27.2	kJ per mole of atoms


[17]
First-principles (GGA-PBE) data for an optimized crystal structure of Ho6CuNi2, as listed in Alexandria via LeMat-Bulk.

POSCAR file:
```
Ho6CuNi2
1.0
-5.748 -0.194 -5.850
7.520 -0.438 -3.248
-0.866 -6.429 5.022
Cu Ho Ni
2 12 4
Cartesian
3.327 -3.434 0.887
0.000 0.000 0.000
-0.687 -1.348 -2.640
0.792 -5.427 2.676
-4.124 -2.240 -2.462
0.114 -1.634 -6.752
2.719 -2.437 -2.231
0.385 -2.917 0.278
3.791 -6.432 1.186
-1.813 -4.625 -1.846
-2.884 -0.629 -5.262
1.594 -5.713 -1.436
0.522 -4.144 -4.354
5.030 -4.821 -1.615
-0.775 -5.925 0.261
-2.259 -2.262 -0.283
-4.355 -4.361 -0.545
1.681 -1.136 -4.338
```

Properties
E above lowest polymorph	0.0	meV/atom
space-group type	Immm
total moment	0.000	μB/f.u.
total energy	-5.0543	eV/atom
Fermi-level density of states	0.948	states/eV/atom
DFT formation energy	-25.3	kJ per mole of atoms


[18]
First-principles (GGA-PBE) data for an optimized crystal structure of HoCuNi2, as listed in Alexandria via LeMat-Bulk.

POSCAR file:
```
HoCuNi2
1.0
4.091 0.000 0.000
2.045 3.543 0.000
2.045 1.181 4.414
Cu Ni Ho
1 2 1
Cartesian
4.091 2.362 2.207
2.045 1.181 1.747
6.136 3.543 2.668
0.000 0.000 0.000
```

Properties
space-group type	R-3m
total moment	0.000	μB/f.u.
total energy	-5.3477	eV/atom
Fermi-level density of states	0.334	states/eV/atom
DFT formation energy	-27.8	kJ per mole of atoms


[19]
First-principles (GGA-PBE) data for an optimized crystal structure of HoCuNi, as listed in Alexandria via LeMat-Bulk.

POSCAR file:
```
HoCuNi
1.0
-0.918 3.499 3.650
-1.822 -4.764 0.620
2.299 -0.314 4.585
Ni Cu Ho
2 2 2
Cartesian
-0.911 -2.382 0.310
-0.459 1.749 1.825
0.239 -2.539 2.602
-1.370 -0.633 2.135
0.983 0.086 3.858
-1.424 -1.666 4.996
```

Properties
space-group type	Imma
total moment	0.000	μB/f.u.
total energy	-5.1344	eV/atom
Fermi-level density of states	0.646	states/eV/atom
DFT formation energy	-30.5	kJ per mole of atoms


[20]
First-principles (GGA-PBE) data for an optimized crystal structure of HoCu4Ni2, as listed in Alexandria via LeMat-Bulk.

POSCAR file:
```
HoCu4Ni2
1.0
0.765 4.570 -1.406
-2.818 3.653 2.053
3.388 2.761 2.530
Cu Ho Ni
4 1 2
Cartesian
1.549 2.471 0.554
-0.860 2.817 0.369
-0.214 8.513 2.624
2.195 8.167 2.809
0.765 4.570 -1.406
0.476 4.351 1.940
0.858 6.633 1.237
```

Properties
E above lowest polymorph	0.0	meV/atom
space-group type	C2/m
total moment	0.000	μB/f.u.
total energy	-4.8266	eV/atom
Fermi-level density of states	0.393	states/eV/atom
DFT formation energy	-17.4	kJ per mole of atoms